Here is Tb2HI3 after structural relaxation from the Alexandria database. Energies are from PBE-GGA.

Cell and atoms, written as POSCAR:
```
Tb2HI3
1.0
9.753 -2.004 0.000
9.753 2.004 0.000
-6.674 0.000 10.171
Tb H I
4 2 6
Cartesian
-1.781 0.000 4.716 Tb
5.728 0.000 2.188 Tb
7.103 0.000 7.983 Tb
14.613 0.000 5.455 Tb
-2.938 0.000 6.725 H
15.770 0.000 3.445 H
3.204 0.000 0.082 I
3.099 0.000 3.863 I
4.009 0.000 7.683 I
8.822 0.000 2.488 I
9.732 0.000 6.308 I
9.627 0.000 10.089 I
```



Here is CaHgIr2 after structural relaxation from the Alexandria database. Energies are from PBE-GGA.

Cell and atoms, written as POSCAR:
```
CaHgIr2
1.0
2.930 0.000 0.000
0.000 3.867 0.000
-0.012 0.000 7.154
Ca Hg Ir
1 1 2
Cartesian
0.000 0.000 0.000 Ca
1.466 1.934 2.170 Hg
1.457 1.934 5.105 Ir
2.920 0.000 4.211 Ir
```

The formation energy is 0.030 eV/atom.



Here is LiCd2PdAu after structural relaxation from the Alexandria database. Energies are from PBE-GGA.

Cell and atoms, written as POSCAR:
```
LiCd2PdAu
1.0
7.318 -2.067 0.000
7.318 2.067 0.000
-2.002 0.000 6.225
Li Cd Pd Au
2 4 2 2
Cartesian
0.426 0.000 2.803 Li
12.208 0.000 3.423 Li
0.803 0.000 5.584 Cd
3.825 0.000 5.064 Cd
8.809 0.000 1.162 Cd
11.831 0.000 0.641 Cd
3.202 0.000 2.245 Pd
9.433 0.000 3.980 Pd
6.078 0.000 1.758 Au
6.556 0.000 4.467 Au
```

Its energy relative to the lowest polymorph listed for this composition is 0 meV per atom. The formation energy is -0.317 eV/atom.



Here is PaAuS after structural relaxation from the Alexandria database. Energies are from PBE-GGA.

Cell and atoms, written as POSCAR:
```
PaAuS
1.0
4.657 0.000 0.000
0.000 4.758 0.000
-1.164 0.000 6.474
Pa Au S
2 2 2
Cartesian
0.629 1.190 1.780 Pa
2.864 3.569 4.695 Pa
1.573 3.569 0.158 Au
1.920 1.190 6.317 Au
0.544 3.569 3.192 S
2.949 1.190 3.282 S
```

As for the uncorrected formation energy: -265 kJ/mol of formula units.



Here is Pm4Pd2C after structural relaxation from the Alexandria database. Energies are from PBE-GGA.

Cell and atoms, written as POSCAR:
```
Pm4Pd2C
1.0
-2.488 2.488 7.294
2.488 -2.488 7.294
2.488 2.488 -7.294
Pm Pd C
4 2 1
Cartesian
2.488 0.000 0.000 Pm
0.000 0.000 2.568 Pm
0.000 2.488 0.000 Pm
0.000 0.000 12.019 Pm
0.000 0.000 5.393 Pd
0.000 0.000 9.194 Pd
0.000 0.000 0.000 C
```

The formation energy is -0.340 eV/atom.



Here is Ca2ZnCu3Au12 after structural relaxation from the Alexandria database. Energies are from PBE-GGA.

Cell and atoms, written as POSCAR:
```
Ca2ZnCu3Au12
1.0
4.226 2.440 6.498
-4.226 2.440 6.498
0.000 -4.879 6.498
Ca Zn Cu Au
2 1 3 12
Cartesian
0.000 0.000 2.226 Ca
0.000 0.000 17.266 Ca
0.000 0.000 9.746 Zn
-2.113 -1.220 6.498 Cu
-2.113 1.220 12.995 Cu
0.000 2.440 6.498 Cu
-2.147 -1.240 9.011 Au
0.000 -2.356 5.698 Au
-2.041 1.178 5.698 Au
0.000 -2.479 10.481 Au
-2.147 1.240 10.481 Au
-2.041 -1.178 13.794 Au
2.041 1.178 5.698 Au
2.147 -1.240 9.011 Au
0.000 2.479 9.011 Au
2.041 -1.178 13.794 Au
0.000 2.356 13.794 Au
2.147 1.240 10.481 Au
```

The formation energy is -0.019 eV/atom.



| no. | total energy (eV per atom) |
| --- | --- |
| 1 | -3.9282 |
| 2 | -4.9765 |
| 3 | -2.7601 |
| 4 | -6.5489 |
| 5 | -5.8560 |
| 6 | -3.1802 |